The following is a DFT calculation (GGA-PBE) of a relaxed MnCoNiAs crystal.

Cell: 5.815 5.815 5.815 Å, 90.00 90.00 90.00°
Element x y z (fractional)
Mn1 0.000 0.000 0.000
Mn2 0.000 0.500 0.500
Mn3 0.500 0.000 0.500
Mn4 0.500 0.500 0.000
Co1 0.250 0.250 0.750
Co2 0.250 0.750 0.250
Co3 0.750 0.250 0.250
Co4 0.750 0.750 0.750
Ni1 0.250 0.250 0.250
Ni2 0.250 0.750 0.750
Ni3 0.750 0.250 0.750
Ni4 0.750 0.750 0.250
As1 0.000 0.000 0.500
As2 0.000 0.500 0.000
As3 0.500 0.000 0.000
As4 0.500 0.500 0.500

Computed properties:
SG = F-43m (216)
Formation energy = -63 meV/atom
Spin magnetization = 4.82 μB/f.u.
E = -6.740 eV/atom
Density of states at the Fermi level = 21.20 states/eV/cell

=====

The following is a DFT calculation (GGA-PBE) of a relaxed La4Dy3Er2 crystal.

Cell: 8.121 8.121 8.064 Å, 107.37 107.37 36.99°
Element x y z (fractional)
La1 0.054 0.054 0.329
La2 0.276 0.276 0.668
La3 0.724 0.724 0.332
La4 0.946 0.946 0.671
Dy1 0.388 0.388 0.329
Dy2 0.500 0.500 0.000
Dy3 0.612 0.612 0.671
Er1 0.168 0.168 0.000
Er2 0.832 0.832 0.000

Computed properties:
SG = C2/m (12)
Formation energy = 32 meV/atom
Spin magnetization = 0.00 μB/f.u.
E = -4.706 eV/atom
Density of states at the Fermi level = 15.57 states/eV/cell
Distance to the lowest polymorph of the same formula = 0 meV/atom

=====

The following is a DFT calculation (GGA-PBE) of a relaxed ZnP2PbO7 crystal.

Cell: 5.412 8.417 14.114 Å, 90.00 112.10 90.00°
Element x y z (fractional)
Zn1 0.224 0.152 0.396
Zn2 0.224 0.348 0.896
Zn3 0.776 0.652 0.104
Zn4 0.776 0.848 0.604
P1 0.081 0.536 0.333
P2 0.081 0.964 0.833
P3 0.163 0.701 0.980
P4 0.163 0.799 0.480
P5 0.837 0.201 0.520
P6 0.837 0.299 0.020
P7 0.919 0.036 0.167
P8 0.919 0.464 0.667
Pb1 0.481 0.673 0.777
Pb2 0.481 0.827 0.277
Pb3 0.519 0.173 0.723
Pb4 0.519 0.327 0.223
O1 0.020 0.138 0.846
O2 0.020 0.362 0.346
O3 0.116 0.168 0.520
O4 0.116 0.332 0.020
O5 0.165 0.615 0.445
O6 0.165 0.885 0.945
O7 0.177 0.119 0.239
O8 0.177 0.381 0.739
O9 0.222 0.597 0.901
O10 0.222 0.903 0.401
O11 0.313 0.559 0.297
O12 0.313 0.941 0.797
O13 0.390 0.693 0.086
O14 0.390 0.807 0.586
O15 0.610 0.193 0.414
O16 0.610 0.307 0.914
O17 0.687 0.059 0.203
O18 0.687 0.441 0.703
O19 0.778 0.097 0.599
O20 0.778 0.403 0.099
O21 0.823 0.619 0.261
O22 0.823 0.881 0.761
O23 0.835 0.115 0.055
O24 0.835 0.385 0.555
O25 0.884 0.668 0.980
O26 0.884 0.832 0.480
O27 0.980 0.638 0.654
O28 0.980 0.862 0.154

Computed properties:
SG = P2_1/c (14)
Spin magnetization = 0.00 μB/f.u.
E_form (uncorrected) = -21.881 eV/f.u.
E = -6.581 eV/atom
Density of states at the Fermi level = 0.00 states/eV/cell

=====

The following is a DFT calculation (GGA-PBE) of a relaxed Ba2ZrRu crystal.

Cell: 3.685 5.242 6.122 Å, 90.00 100.78 90.00°
Element x y z (fractional)
Ba1 0.113 0.000 0.265
Ba2 0.887 0.000 0.735
Zr1 0.500 0.500 0.000
Ru1 0.500 0.500 0.500

Computed properties:
SG = P2/m (10)
Formation energy = 867 meV/atom
Spin magnetization = 0.00 μB/f.u.
E = -4.550 eV/atom
Density of states at the Fermi level = 5.03 states/eV/cell
Distance to the lowest polymorph of the same formula = 765 meV/atom